KTaPt4 at its PBEsol-relaxed geometry, computed with SCAN. Values from VASP.

calculated density: 15.986 g/cm³
ΔE_f: 0.000 eV/atom

The structure in Quantum ESPRESSO input format:
```
&SYSTEM
  ibrav = 0, nat = 6, ntyp = 3
/
ATOMIC_SPECIES
K 39.10 K.upf
Ta 180.95 Ta.upf
Pt 195.08 Pt.upf
CELL_PARAMETERS angstrom
0.000 3.731 3.731
3.731 0.000 3.731
3.731 3.731 0.000
ATOMIC_POSITIONS angstrom
K 0.000 0.000 0.000
Ta 1.866 1.866 1.866
Pt 4.665 2.798 2.798
Pt 2.798 4.665 2.798
Pt 2.798 2.798 4.665
Pt 4.665 4.665 4.665
```

KTa2TlPt at its PBEsol-relaxed geometry, computed with SCAN. Values from VASP.

calculated density: 9.975 g/cm³
ΔE_f: 1.105 eV/atom

The structure in Quantum ESPRESSO input format:
```
&SYSTEM
  ibrav = 0, nat = 5, ntyp = 4
/
ATOMIC_SPECIES
K 39.10 K.upf
Ta 180.95 Ta.upf
Tl 204.38 Tl.upf
Pt 195.08 Pt.upf
CELL_PARAMETERS angstrom
5.024 0.000 0.000
0.000 5.024 0.000
0.000 0.000 5.279
ATOMIC_POSITIONS angstrom
K 0.000 0.000 0.000
Ta 0.000 2.512 2.640
Ta 2.512 0.000 2.640
Tl 2.512 2.512 0.000
Pt 2.512 2.512 2.640
```

KTcPt at its PBEsol-relaxed geometry, computed with SCAN. Values from VASP.

calculated density: 10.244 g/cm³
ΔE_f: 1.009 eV/atom

The structure in Quantum ESPRESSO input format:
```
&SYSTEM
  ibrav = 0, nat = 3, ntyp = 3
/
ATOMIC_SPECIES
K 39.10 K.upf
Tc 98.00 Tc.upf
Pt 195.08 Pt.upf
CELL_PARAMETERS angstrom
4.875 0.000 0.000
-2.438 4.222 0.000
0.000 0.000 2.616
ATOMIC_POSITIONS angstrom
K 0.000 0.000 0.000
Tc 2.438 1.407 1.308
Pt 0.000 2.815 1.308
```

KTc2Pt at its PBEsol-relaxed geometry, computed with SCAN. Values from VASP.

calculated density: 10.817 g/cm³
ΔE_f: 1.051 eV/atom

The structure in Quantum ESPRESSO input format:
```
&SYSTEM
  ibrav = 0, nat = 4, ntyp = 3
/
ATOMIC_SPECIES
K 39.10 K.upf
Tc 98.00 Tc.upf
Pt 195.08 Pt.upf
CELL_PARAMETERS angstrom
2.703 0.000 0.000
0.000 4.826 0.000
0.000 0.000 5.062
ATOMIC_POSITIONS angstrom
K 0.000 0.000 0.000
Tc 0.000 2.413 2.531
Tc 1.352 0.000 2.531
Pt 1.352 2.413 0.000
```

KTc2Pt at its PBEsol-relaxed geometry, computed with SCAN. Values from VASP.

calculated density: 8.525 g/cm³
ΔE_f: 0.581 eV/atom

The structure in Quantum ESPRESSO input format:
```
&SYSTEM
  ibrav = 0, nat = 4, ntyp = 3
/
ATOMIC_SPECIES
K 39.10 K.upf
Tc 98.00 Tc.upf
Pt 195.08 Pt.upf
CELL_PARAMETERS angstrom
2.701 0.000 0.000
0.000 4.397 0.000
0.000 0.000 7.056
ATOMIC_POSITIONS angstrom
K 0.000 0.000 0.000
Tc 1.350 2.198 2.474
Tc 1.350 2.198 4.582
Pt 0.000 0.000 3.528
```

KTc2Pt at its PBEsol-relaxed geometry, computed with SCAN. Values from VASP.

calculated density: 10.646 g/cm³
ΔE_f: 0.509 eV/atom

The structure in Quantum ESPRESSO input format:
```
&SYSTEM
  ibrav = 0, nat = 4, ntyp = 3
/
ATOMIC_SPECIES
K 39.10 K.upf
Tc 98.00 Tc.upf
Pt 195.08 Pt.upf
CELL_PARAMETERS angstrom
1.434 -2.308 0.000
1.434 2.308 0.000
0.000 0.000 10.137
ATOMIC_POSITIONS angstrom
K 0.000 0.000 0.000
Tc 0.000 0.000 5.051
Tc 1.434 0.000 2.978
Pt 1.434 0.000 7.413
```

KTcPt at its PBEsol-relaxed geometry, computed with SCAN. Values from VASP.

calculated density: 10.245 g/cm³
ΔE_f: 0.697 eV/atom

The structure in Quantum ESPRESSO input format:
```
&SYSTEM
  ibrav = 0, nat = 3, ntyp = 3
/
ATOMIC_SPECIES
K 39.10 K.upf
Tc 98.00 Tc.upf
Pt 195.08 Pt.upf
CELL_PARAMETERS angstrom
2.791 0.000 0.000
-1.396 2.417 0.000
0.000 0.000 7.980
ATOMIC_POSITIONS angstrom
K 0.000 0.000 0.000
Tc 1.396 0.806 3.015
Pt 0.000 1.611 5.149
```

KTc2Pt at its PBEsol-relaxed geometry, computed with SCAN. Values from VASP.

calculated density: 9.039 g/cm³
ΔE_f: 0.452 eV/atom

The structure in Quantum ESPRESSO input format:
```
&SYSTEM
  ibrav = 0, nat = 4, ntyp = 3
/
ATOMIC_SPECIES
K 39.10 K.upf
Tc 98.00 Tc.upf
Pt 195.08 Pt.upf
CELL_PARAMETERS angstrom
2.682 0.000 0.000
0.000 3.773 0.000
0.000 0.000 7.810
ATOMIC_POSITIONS angstrom
K 0.000 0.000 0.000
Tc 0.000 0.000 3.864
Tc 1.341 1.887 5.018
Pt 1.341 1.887 2.421
```

KTc2Pt2 at its PBEsol-relaxed geometry, computed with SCAN. Values from VASP.

calculated density: 10.704 g/cm³
ΔE_f: 0.421 eV/atom

The structure in Quantum ESPRESSO input format:
```
&SYSTEM
  ibrav = 0, nat = 5, ntyp = 3
/
ATOMIC_SPECIES
K 39.10 K.upf
Tc 98.00 Tc.upf
Pt 195.08 Pt.upf
CELL_PARAMETERS angstrom
-2.256 2.256 4.765
2.256 -2.256 4.765
2.256 2.256 -4.765
ATOMIC_POSITIONS angstrom
K 0.000 0.000 0.000
Tc 0.000 0.000 3.699
Tc 0.000 0.000 5.830
Pt 2.256 0.000 2.382
Pt 0.000 2.256 2.382
```

KTe2Pt at its PBEsol-relaxed geometry, computed with SCAN. Values from VASP.

formation energy from raw total energies: -0.3430 eV/atom
calculated density: 6.825 g/cm³

The structure in Quantum ESPRESSO input format:
```
&SYSTEM
  ibrav = 0, nat = 4, ntyp = 3
/
ATOMIC_SPECIES
K 39.10 K.upf
Te 127.60 Te.upf
Pt 195.08 Pt.upf
CELL_PARAMETERS angstrom
3.578 0.000 0.000
0.000 3.578 0.000
0.000 0.000 9.301
ATOMIC_POSITIONS angstrom
K 0.000 0.000 0.000
Te 0.000 0.000 3.419
Te 1.789 1.789 6.996
Pt 1.789 1.789 4.313
```

KTe2Pt at its PBEsol-relaxed geometry, computed with SCAN. Values from VASP.

formation energy from raw total energies: 0.0776 eV/atom
calculated density: 7.797 g/cm³

The structure in Quantum ESPRESSO input format:
```
&SYSTEM
  ibrav = 0, nat = 4, ntyp = 3
/
ATOMIC_SPECIES
K 39.10 K.upf
Te 127.60 Te.upf
Pt 195.08 Pt.upf
CELL_PARAMETERS angstrom
1.692 0.977 10.513
-1.692 0.977 10.513
0.000 -1.953 10.513
ATOMIC_POSITIONS angstrom
K 0.000 0.000 0.000
Te 0.000 0.000 13.261
Te 0.000 0.000 18.279
Pt 0.000 0.000 15.770
```

KTe2Pt at its PBEsol-relaxed geometry, computed with SCAN. Values from VASP.

formation energy from raw total energies: 0.2776 eV/atom
calculated density: 8.280 g/cm³

The structure in Quantum ESPRESSO input format:
```
&SYSTEM
  ibrav = 0, nat = 4, ntyp = 3
/
ATOMIC_SPECIES
K 39.10 K.upf
Te 127.60 Te.upf
Pt 195.08 Pt.upf
CELL_PARAMETERS angstrom
0.000 3.661 3.661
3.661 0.000 3.661
3.661 3.661 0.000
ATOMIC_POSITIONS angstrom
K 0.000 0.000 0.000
Te 1.831 1.831 1.831
Te 3.661 3.661 3.661
Pt 5.492 5.492 5.492
```

KTe2Pt at its PBEsol-relaxed geometry, computed with SCAN. Values from VASP.

formation energy from raw total energies: -0.6516 eV/atom
calculated density: 6.384 g/cm³

The structure in Quantum ESPRESSO input format:
```
&SYSTEM
  ibrav = 0, nat = 4, ntyp = 3
/
ATOMIC_SPECIES
K 39.10 K.upf
Te 127.60 Te.upf
Pt 195.08 Pt.upf
CELL_PARAMETERS angstrom
5.376 0.000 0.000
0.000 4.098 0.000
-1.910 0.000 5.778
ATOMIC_POSITIONS angstrom
K 0.000 0.000 0.000
Te 0.753 2.049 4.177
Te 2.713 2.049 1.602
Pt 1.733 0.000 2.889
```

K2TePt at its PBEsol-relaxed geometry, computed with SCAN. Values from VASP.

formation energy from raw total energies: -0.6417 eV/atom
calculated density: 4.055 g/cm³

The structure in Quantum ESPRESSO input format:
```
&SYSTEM
  ibrav = 0, nat = 4, ntyp = 3
/
ATOMIC_SPECIES
K 39.10 K.upf
Te 127.60 Te.upf
Pt 195.08 Pt.upf
CELL_PARAMETERS angstrom
2.275 1.313 9.157
-2.275 1.313 9.157
0.000 -2.627 9.157
ATOMIC_POSITIONS angstrom
K 0.000 0.000 0.000
K 0.000 0.000 4.401
Te 0.000 0.000 11.357
Pt 0.000 0.000 20.516
```

K2Te2Pt at its PBEsol-relaxed geometry, computed with SCAN. Values from VASP.

formation energy from raw total energies: -0.9643 eV/atom
calculated density: 5.557 g/cm³

The structure in Quantum ESPRESSO input format:
```
&SYSTEM
  ibrav = 0, nat = 5, ntyp = 3
/
ATOMIC_SPECIES
K 39.10 K.upf
Te 127.60 Te.upf
Pt 195.08 Pt.upf
CELL_PARAMETERS angstrom
-1.982 3.881 5.131
1.982 -3.881 5.131
1.982 3.881 -5.131
ATOMIC_POSITIONS angstrom
K 0.000 0.000 2.119
K 0.000 0.000 8.142
Te 1.982 2.146 0.000
Te 0.000 1.736 5.131
Pt 0.000 3.881 0.000
```